(1)
Entry from Alexandria: crystalline Ca2CdSi at its relaxed geometry (PBE).

Output
DOS(E_F) = 0.546 states/eV per atom
Formation energy (no corrections) = -1.43 eV/f.u.
Total DFT energy (no corrections) = -23.54 eV/cell

Cell and atoms, written as POSCAR:
```
Ca2CdSi
1.0
-2.3329 3.1506 -4.6658
-4.4783 -3.9613 1.4951
-1.0552 3.4864 4.9854
Ca Cd Si
4 2 2
Cartesian
-3.8603 1.3259 3.7806
-4.0061 1.3498 -1.9659
-6.8337 1.2548 1.1967
-1.0327 1.4209 0.6181
-3.8794 -0.1348 0.9374
-3.9870 2.8104 0.8774
-5.7560 -1.1479 -0.8559
-2.1104 3.8236 2.6707
```


(2)
Entry from Alexandria: crystalline HfAgHgTe3 at its relaxed geometry (PBE).

Output
DOS(E_F) = 0.279 states/eV per atom
Formation energy (no corrections) = -2.38 eV/f.u.
Total DFT energy (no corrections) = -49.81 eV/cell

Cell and atoms, written as POSCAR:
```
HfAgHgTe3
1.0
3.9779 0.0000 0.0000
0.0000 9.5621 0.1718
0.0000 -4.4011 9.7128
Hf Ag Hg Te
2 2 2 6
Cartesian
0.9945 5.8717 1.6994
2.9834 -0.7106 8.1851
0.9945 -1.9671 5.9132
2.9834 7.1281 3.9713
0.9945 1.0718 2.5061
2.9834 4.0892 7.3784
2.9834 7.9176 1.3144
0.9945 -2.7566 8.5702
0.9945 5.1758 4.5061
2.9834 -0.0147 5.3785
2.9834 3.7540 1.4342
0.9945 1.4071 8.4503
```


(3)
Entry from Alexandria: crystalline Li3AlAu4 at its relaxed geometry (PBE).

Output
DOS(E_F) = 0.275 states/eV per atom
E above lowest polymorph = 0.000 eV per atom
Total DFT energy (no corrections) = -26.95 eV/cell

Cell and atoms, written as POSCAR:
```
Li3AlAu4
1.0
4.3419 -0.0112 -1.1659
-0.3225 4.3363 -1.1473
-0.4812 -0.5479 6.8046
Au Al Li
4 1 3
Cartesian
1.1441 1.2088 4.2271
2.3941 2.5684 0.2643
0.3842 0.4060 1.4209
3.1540 3.3712 3.0706
2.1709 -0.0056 -0.5829
-0.1613 2.1681 -0.5736
2.9346 0.8011 2.2382
0.6035 2.9760 2.2532
```


(4)
Entry from Alexandria: crystalline CsSb2TeI at its relaxed geometry (PBE).

Output
DOS(E_F) = 1.931 states/eV per atom
Formation energy (no corrections) = 5.96 eV/f.u.
E above lowest polymorph = 1.165 eV per atom
Total DFT energy (no corrections) = -7.83 eV/cell

Cell and atoms, written as POSCAR:
```
CsSb2TeI
1.0
-3.6930 -5.3935 1.3872
4.6322 -3.8990 -2.8272
3.1113 -0.6048 5.9317
Cs I Te Sb
1 1 1 2
Cartesian
0.0000 0.0000 0.0000
1.5557 -0.3024 2.9658
2.0252 -4.9486 2.2458
2.3161 -1.9495 -1.4136
-1.8465 -2.6967 0.6936
```


(5)
Entry from Alexandria: crystalline Zn7CoCu4 at its relaxed geometry (PBE).

Output
DOS(E_F) = 0.444 states/eV per atom
Total DFT energy (no corrections) = -32.95 eV/cell

Cell and atoms, written as POSCAR:
```
Zn7CoCu4
1.0
4.1918 0.0000 0.0000
-2.0959 3.6302 0.0000
0.0000 0.0000 10.3604
Zn Co Cu
7 1 4
Cartesian
0.0000 0.0000 0.0000
0.0000 2.4202 4.3628
2.0959 1.2101 5.9976
0.0000 2.4202 1.6437
2.0959 1.2101 8.7166
0.0000 0.0000 7.6763
0.0000 0.0000 2.6841
0.0000 0.0000 5.1802
0.0000 2.4202 9.4461
2.0959 1.2101 0.9143
0.0000 2.4202 6.8718
2.0959 1.2101 3.4885
```


(6)
Entry from Alexandria: crystalline KCdHg2 at its relaxed geometry (PBE).

Output
DOS(E_F) = 0.430 states/eV per atom
Total DFT energy (no corrections) = -3.09 eV/cell

Cell and atoms, written as POSCAR:
```
KCdHg2
1.0
-1.2865 2.1187 4.6094
-4.3123 0.4191 2.9358
0.7295 -5.4894 4.2555
Cd Hg K
1 2 1
Cartesian
-1.2173 -0.7379 2.9502
-5.4997 2.2228 7.6859
-2.5337 -1.1608 5.7596
-3.6520 -2.2137 8.8505
```


(7)
Entry from Alexandria: crystalline Ba2RePd at its relaxed geometry (PBE).

Output
DOS(E_F) = 1.263 states/eV per atom
E above lowest polymorph = 0.000 eV per atom
Total DFT energy (no corrections) = -18.20 eV/cell

Cell and atoms, written as POSCAR:
```
Ba2RePd
1.0
4.1880 -3.6073 0.3908
-0.5744 -5.1386 -1.9924
2.7691 -1.5338 -4.5480
Re Ba Pd
1 2 1
Cartesian
3.1914 -5.1398 -3.0748
1.5957 -2.5699 -1.5374
4.7871 -7.7098 -4.6122
0.0000 0.0000 0.0000
```


(8)
Entry from Alexandria: crystalline NdCd2Sn at its relaxed geometry (PBE).

Output
DOS(E_F) = 0.132 states/eV per atom
E above lowest polymorph = 0.000 eV per atom
Total DFT energy (no corrections) = -12.43 eV/cell

Cell and atoms, written as POSCAR:
```
NdCd2Sn
1.0
-1.3688 -3.2236 -3.4182
2.7482 -3.1388 1.8597
-3.4174 -1.3994 2.6881
Nd Sn Cd
1 1 2
Cartesian
-1.0190 -3.8809 0.5648
-0.6844 -1.6118 -1.7091
-1.7087 -0.6997 1.3441
1.3741 -1.5694 0.9298
```


- The highest DOS(E_F) belongs to which entry?
  CsSb2TeI


- Which formula does entry 7 have?
  Ba2RePd


Please write out number 6 again, unchanged.
Entry from Alexandria: crystalline KCdHg2 at its relaxed geometry (PBE).

Output
DOS(E_F) = 0.430 states/eV per atom
Total DFT energy (no corrections) = -3.09 eV/cell

Cell and atoms, written as POSCAR:
```
KCdHg2
1.0
-1.2865 2.1187 4.6094
-4.3123 0.4191 2.9358
0.7295 -5.4894 4.2555
Cd Hg K
1 2 1
Cartesian
-1.2173 -0.7379 2.9502
-5.4997 2.2228 7.6859
-2.5337 -1.1608 5.7596
-3.6520 -2.2137 8.8505
```


- Among the records above, which one has the highest total DFT energy (no corrections)?
  KCdHg2